No. 1
4
Lattice="-1.687 2.063 4.675 1.687 -2.063 4.675 1.687 2.063 -4.675" Properties=species:S:1:pos:R:3 comment="LiYTc2 SCAN PBEsol geometry" de_polymorph_mev_per_atom=134 mass_density_kg_m3=7447 magmom_total_mub_per_cell=0.000 formation_energy_ev_per_atom=0.276 crystal_system=orthorhombic space_group="Immm (71)" pbc="T T T"
Li 0.000 0.000 0.000
Y 0.000 0.000 4.675
Tc 1.687 0.000 2.311
Tc 0.000 2.063 2.364

***

No. 2
4
Lattice="-1.695 2.417 4.152 1.695 -2.417 4.152 1.695 2.417 -4.152" Properties=species:S:1:pos:R:3 comment="Li2YTc SCAN PBEsol geometry" mass_density_kg_m3=4899 magmom_total_mub_per_cell=0.000 formation_energy_ev_per_atom=0.401 crystal_system=orthorhombic space_group="Imm2 (44)" pbc="T T T"
Li 0.000 0.000 0.000
Li 0.000 2.417 2.283
Y 1.695 0.000 2.310
Tc 0.000 0.000 4.458

***

No. 3
4
Lattice="1.321 0.762 9.184 -1.321 0.762 9.184 0.000 -1.525 9.184" Properties=species:S:1:pos:R:3 comment="LiZnTc2 SCAN PBEsol geometry" mass_density_kg_m3=8032 magmom_total_mub_per_cell=0.000 formation_energy_ev_per_atom=0.209 crystal_system=trigonal space_group="R-3m (166)" pbc="T T T"
Li 0.000 0.000 0.000
Zn 0.000 0.000 13.777
Tc 0.000 0.000 6.831
Tc 0.000 0.000 20.722

***

No. 4
4
Lattice="0.000 3.268 3.268 3.268 0.000 3.268 3.268 3.268 0.000" Properties=species:S:1:pos:R:3 comment="LiZr2Tc SCAN PBEsol geometry" de_polymorph_mev_per_atom=0 mass_density_kg_m3=6836 magmom_total_mub_per_cell=0.000 formation_energy_ev_per_atom=-0.227 crystal_system=cubic space_group="Fm-3m (225)" pbc="T T T"
Li 0.000 0.000 0.000
Zr 1.634 1.634 1.634
Zr 4.902 4.902 4.902
Tc 3.268 3.268 3.268

***

No. 5
4
Lattice="4.574 0.000 0.000 0.000 4.574 0.000 0.000 0.000 3.316" Properties=species:S:1:pos:R:3 comment="LiZr2Tc SCAN PBEsol geometry" de_polymorph_mev_per_atom=83 mass_density_kg_m3=6880 magmom_total_mub_per_cell=0.000 formation_energy_ev_per_atom=-0.144 crystal_system=tetragonal space_group="P4/mmm (123)" pbc="T T T"
Li 0.000 0.000 0.000
Zr 0.000 2.287 1.658
Zr 2.287 0.000 1.658
Tc 2.287 2.287 0.000

***

No. 6
3
Lattice="0.000 3.222 3.222 3.222 0.000 3.222 3.222 3.222 0.000" Properties=species:S:1:pos:R:3 comment="Li2Te SCAN PBEsol geometry" de_polymorph_mev_per_atom=0 mass_density_kg_m3=3511 magmom_total_mub_per_cell=0.000 crystal_system=cubic raw_formation_energy_mev_per_atom=-1150 space_group="Fm-3m (225)" pbc="T T T"
Li 1.611 1.611 1.611
Li 4.833 4.833 4.833
Te 0.000 0.000 0.000

***

No. 7
4
Lattice="4.138 0.000 0.000 0.000 4.138 0.000 0.000 0.000 4.138" Properties=species:S:1:pos:R:3 comment="Li3Te SCAN PBEsol geometry" de_polymorph_mev_per_atom=0 mass_density_kg_m3=3478 magmom_total_mub_per_cell=0.000 crystal_system=cubic raw_formation_energy_mev_per_atom=-754 space_group="Pm-3m (221)" pbc="T T T"
Li 0.000 0.000 2.069
Li 0.000 2.069 0.000
Li 2.069 0.000 0.000
Te 2.069 2.069 2.069

***

No. 8
6
Lattice="4.609 0.000 0.000 -2.305 3.992 0.000 0.000 0.000 6.485" Properties=species:S:1:pos:R:3 comment="Li2Te SCAN PBEsol geometry" de_polymorph_mev_per_atom=118 mass_density_kg_m3=3938 magmom_total_mub_per_cell=0.000 crystal_system=hexagonal raw_formation_energy_mev_per_atom=-1032 space_group="P6_3/mmc (194)" pbc="T T T"
Li 0.000 0.000 0.000
Li 0.000 0.000 3.242
Li 0.000 2.661 1.621
Li 2.305 1.331 4.864
Te 0.000 2.661 4.864
Te 2.305 1.331 1.621

***

No. 9
24
Lattice="5.908 0.000 0.000 -2.954 5.116 0.000 0.000 0.000 14.271" Properties=species:S:1:pos:R:3 comment="Li3Te SCAN PBEsol geometry" de_polymorph_mev_per_atom=7 mass_density_kg_m3=3428 magmom_total_mub_per_cell=0.019 crystal_system=hexagonal raw_formation_energy_mev_per_atom=-748 space_group="P6_3/mmc (194)" pbc="T T T"
Li -1.447 2.576 3.568
Li 0.000 1.683 8.328
Li 0.000 1.683 13.079
Li -1.496 4.275 8.328
Li -1.496 4.275 13.079
Li 1.458 0.842 1.192
Li 1.458 0.842 5.943
Li 1.447 2.576 3.568
Li 0.000 5.081 3.568
Li 2.954 0.035 10.703
Li 1.507 2.541 10.703
Li 1.496 4.275 8.328
Li 1.496 4.275 13.079
Li 4.450 0.842 1.192
Li 4.450 0.842 5.943
Li 2.954 3.433 1.192
Li 2.954 3.433 5.943
Li 4.400 2.541 10.703
Te 0.000 0.000 3.568
Te 0.000 0.000 10.703
Te 0.000 3.411 1.207
Te 0.000 3.411 5.929
Te 2.954 1.705 8.342
Te 2.954 1.705 13.064

***

No. 10
6
Lattice="3.968 -2.220 0.000 3.968 2.220 0.000 -1.733 0.000 7.955" Properties=species:S:1:pos:R:3 comment="Li2Te SCAN PBEsol geometry" de_polymorph_mev_per_atom=94 mass_density_kg_m3=3352 magmom_total_mub_per_cell=0.000 crystal_system=monoclinic raw_formation_energy_mev_per_atom=-1055 space_group="C2/m (12)" pbc="T T T"
Li 0.085 0.000 2.685
Li 0.905 0.000 7.071
Li 5.298 0.000 0.883
Li 6.118 0.000 5.269
Te 2.670 0.000 1.910
Te 3.533 0.000 6.045

***

No. 11
3
Lattice="4.441 0.000 0.000 -2.221 3.846 0.000 0.000 0.000 4.471" Properties=species:S:1:pos:R:3 comment="Li2Te SCAN PBEsol geometry" de_polymorph_mev_per_atom=203 mass_density_kg_m3=3076 magmom_total_mub_per_cell=0.000 crystal_system=trigonal raw_formation_energy_mev_per_atom=-946 space_group="P-3m1 (164)" pbc="T T T"
Li 0.000 2.564 0.897
Li 2.221 1.282 3.574
Te 0.000 0.000 0.000

***

No. 12
4
Lattice="3.831 0.000 0.000 0.000 3.831 0.000 0.000 0.000 5.677" Properties=species:S:1:pos:R:3 comment="Li3Te SCAN PBEsol geometry" de_polymorph_mev_per_atom=210 mass_density_kg_m3=2959 magmom_total_mub_per_cell=0.817 crystal_system=tetragonal raw_formation_energy_mev_per_atom=-544 space_group="P4/mmm (123)" pbc="T T T"
Li 0.000 0.000 0.000
Li 1.915 1.915 1.600
Li 1.915 1.915 4.077
Te 0.000 0.000 2.839

***

No. 13
4
Lattice="-3.027 3.027 3.027 3.027 -3.027 3.027 3.027 3.027 -3.027" Properties=species:S:1:pos:R:3 comment="LiTe3 SCAN PBEsol geometry" de_polymorph_mev_per_atom=0 mass_density_kg_m3=5832 magmom_total_mub_per_cell=0.000 crystal_system=cubic raw_formation_energy_mev_per_atom=-459 space_group="Im-3m (229)" pbc="T T T"
Li 0.000 0.000 0.000
Te 3.027 0.000 0.000
Te 0.000 3.027 0.000
Te 0.000 0.000 3.027

***

No. 14
4
Lattice="3.997 0.000 0.000 -1.999 3.462 0.000 0.000 0.000 7.716" Properties=species:S:1:pos:R:3 comment="LiTe3 SCAN PBEsol geometry" de_polymorph_mev_per_atom=319 mass_density_kg_m3=6062 magmom_total_mub_per_cell=0.000 crystal_system=hexagonal raw_formation_energy_mev_per_atom=-140 space_group="P-6m2 (187)" pbc="T T T"
Li 0.000 0.000 0.000
Te 0.000 0.000 3.858
Te 0.000 2.308 1.719
Te 0.000 2.308 5.997

***

No. 15
4
Lattice="-2.135 2.212 6.036 2.135 -2.212 6.036 2.135 2.212 -6.036" Properties=species:S:1:pos:R:3 comment="LiTe3 SCAN PBEsol geometry" de_polymorph_mev_per_atom=69 mass_density_kg_m3=5675 magmom_total_mub_per_cell=0.000 crystal_system=orthorhombic raw_formation_energy_mev_per_atom=-391 space_group="Immm (71)" pbc="T T T"
Li 0.000 0.000 0.000
Te 0.000 0.000 3.062
Te 0.000 0.000 6.036
Te 0.000 0.000 9.010

***

No. 16
4
Lattice="3.798 -3.804 0.000 3.798 3.804 0.000 0.000 0.000 3.552" Properties=species:S:1:pos:R:3 comment="LiTe3 SCAN PBEsol geometry" de_polymorph_mev_per_atom=307 mass_density_kg_m3=6306 magmom_total_mub_per_cell=0.000 crystal_system=orthorhombic raw_formation_energy_mev_per_atom=-152 space_group="Cmmm (65)" pbc="T T T"
Li 0.000 0.000 0.000
Te 1.899 1.902 1.776
Te 1.899 -1.902 1.776
Te 3.798 0.000 0.000

***

No. 17
5
Lattice="4.985 0.000 0.000 0.000 4.985 0.000 0.000 0.000 4.985" Properties=species:S:1:pos:R:3 comment="Li3TiTe SCAN PBEsol geometry" mass_density_kg_m3=2632 magmom_total_mub_per_cell=3.141 crystal_system=cubic raw_formation_energy_mev_per_atom=665 space_group="Pm-3m (221)" pbc="T T T"
Li 0.000 0.000 2.492
Li 0.000 2.492 0.000
Li 2.492 0.000 0.000
Ti 0.000 0.000 0.000
Te 2.492 2.492 2.492

***

No. 18
4
Lattice="3.044 -4.222 0.000 3.044 4.222 0.000 0.000 0.000 4.357" Properties=species:S:1:pos:R:3 comment="LiTlTe2 SCAN PBEsol geometry" mass_density_kg_m3=6918 magmom_total_mub_per_cell=0.000 crystal_system=orthorhombic raw_formation_energy_mev_per_atom=-382 space_group="Cmmm (65)" pbc="T T T"
Li 0.000 0.000 0.000
Tl 3.044 0.000 0.000
Te 1.522 2.111 2.179
Te 1.522 -2.111 2.179

***

No. 19
3
Lattice="0.000 3.423 3.423 3.423 0.000 3.423 3.423 3.423 0.000" Properties=species:S:1:pos:R:3 comment="LiTlTe SCAN PBEsol geometry" de_polymorph_mev_per_atom=0 mass_density_kg_m3=7016 magmom_total_mub_per_cell=0.000 crystal_system=cubic raw_formation_energy_mev_per_atom=-604 space_group="F-43m (216)" pbc="T T T"
Li 0.000 0.000 0.000
Tl 1.711 1.711 1.711
Te 5.134 5.134 5.134

***

No. 20
6
Lattice="0.000 3.924 3.924 3.924 0.000 3.924 3.924 3.924 0.000" Properties=species:S:1:pos:R:3 comment="Li4TlTe SCAN PBEsol geometry" mass_density_kg_m3=4942 magmom_total_mub_per_cell=0.000 crystal_system=cubic raw_formation_energy_mev_per_atom=-206 space_group="F-43m (216)" pbc="T T T"
Li 0.975 0.975 0.975
Li 2.949 2.949 0.975
Li 2.949 0.975 2.949
Li 0.975 2.949 2.949
Tl 5.887 5.887 5.887
Te 3.924 3.924 3.924